*w*
The following is a PBE calculation of an optimized crystal structure of Tb2Pm8Sm, from Alexandria via LeMat-Bulk.

CIF file:
```
data_Tb2Pm8Sm
_cell_length_a 18.503
_cell_length_b 5.135
_cell_length_c 8.127
_cell_angle_alpha 90.00
_cell_angle_beta 105.29
_cell_angle_gamma 90.00
_space_group_name_H-M_alt 'C 1 2/m 1'
_space_group_IT_number 12
loop_
_space_group_symop_operation_xyz
'x,y,z'
'-x,-y,-z'
'-x,y,-z'
'x,-y,z'
'x+1/2,y+1/2,z'
'-x+1/2,-y+1/2,-z'
'-x+1/2,y+1/2,-z'
'x+1/2,-y+1/2,z'
loop_
_atom_site_label
_atom_site_fract_x
_atom_site_fract_y
_atom_site_fract_z
Tb1 0.227 0.000 0.135
Pm1 0.046 0.000 0.227
Pm2 0.092 0.500 0.955
Pm3 0.137 0.000 0.684
Pm4 0.182 0.500 0.410
Sm1 0.000 0.500 0.500
```

*x*
The following is a PBE calculation of an optimized crystal structure of Tb2Pm8Sm, from Alexandria via LeMat-Bulk.

CIF file:
```
data_Tb2Pm8Sm
_cell_length_a 19.317
_cell_length_b 7.077
_cell_length_c 5.694
_cell_angle_alpha 90.00
_cell_angle_beta 93.52
_cell_angle_gamma 90.00
_space_group_name_H-M_alt 'C 1 2/m 1'
_space_group_IT_number 12
loop_
_space_group_symop_operation_xyz
'x,y,z'
'-x,-y,-z'
'-x,y,-z'
'x,-y,z'
'x+1/2,y+1/2,z'
'-x+1/2,-y+1/2,-z'
'-x+1/2,y+1/2,-z'
'x+1/2,-y+1/2,z'
loop_
_atom_site_label
_atom_site_fract_x
_atom_site_fract_y
_atom_site_fract_z
Tb1 0.216 0.000 0.256
Pm1 0.045 0.000 0.237
Pm2 0.132 0.233 0.731
Pm3 0.188 0.500 0.230
Sm1 0.000 0.500 0.000
```

Most stable pick: *w*. Distance to second place: 13.4 kJ/mol of atoms.

*w*
The following is a PBE calculation of an optimized crystal structure of TbPm8Sm2, from Alexandria via LeMat-Bulk.

CIF file:
```
data_TbPm8Sm2
_cell_length_a 19.237
_cell_length_b 7.097
_cell_length_c 5.729
_cell_angle_alpha 90.00
_cell_angle_beta 93.75
_cell_angle_gamma 90.00
_space_group_name_H-M_alt 'C 1 2/m 1'
_space_group_IT_number 12
loop_
_space_group_symop_operation_xyz
'x,y,z'
'-x,-y,-z'
'-x,y,-z'
'x,-y,z'
'x+1/2,y+1/2,z'
'-x+1/2,-y+1/2,-z'
'-x+1/2,y+1/2,-z'
'x+1/2,-y+1/2,z'
loop_
_atom_site_label
_atom_site_fract_x
_atom_site_fract_y
_atom_site_fract_z
Tb1 0.000 0.000 0.000
Pm1 0.045 0.500 0.235
Pm2 0.129 0.265 0.731
Pm3 0.187 0.000 0.229
Sm1 0.216 0.500 0.257
```

*x*
The following is a PBE calculation of an optimized crystal structure of TbPm8Sm2, from Alexandria via LeMat-Bulk.

CIF file:
```
data_TbPm8Sm2
_cell_length_a 18.526
_cell_length_b 5.144
_cell_length_c 8.141
_cell_angle_alpha 90.00
_cell_angle_beta 105.29
_cell_angle_gamma 90.00
_space_group_name_H-M_alt 'C 1 2/m 1'
_space_group_IT_number 12
loop_
_space_group_symop_operation_xyz
'x,y,z'
'-x,-y,-z'
'-x,y,-z'
'x,-y,z'
'x+1/2,y+1/2,z'
'-x+1/2,-y+1/2,-z'
'-x+1/2,y+1/2,-z'
'x+1/2,-y+1/2,z'
loop_
_atom_site_label
_atom_site_fract_x
_atom_site_fract_y
_atom_site_fract_z
Tb1 0.000 0.000 0.000
Pm1 0.046 0.500 0.728
Pm2 0.091 0.000 0.453
Pm3 0.136 0.500 0.182
Pm4 0.182 0.000 0.909
Sm1 0.227 0.500 0.636
```

Most stable pick: *x*. Distance to second place: 14.1 kJ/mol of atoms.

*w*
The following is a PBE calculation of an optimized crystal structure of TbPm2Sm, from Alexandria via LeMat-Bulk.

CIF file:
```
data_TbPm2Sm
_cell_length_a 8.146
_cell_length_b 8.146
_cell_length_c 8.146
_cell_angle_alpha 90.00
_cell_angle_beta 90.00
_cell_angle_gamma 90.00
_space_group_name_H-M_alt 'F m -3 m'
_space_group_IT_number 225
_space_group_name_Hall '-F 4 2 3'
loop_
_atom_site_label
_atom_site_fract_x
_atom_site_fract_y
_atom_site_fract_z
Tb1 0.000 0.000 0.000
Pm1 0.250 0.250 0.250
Sm1 0.000 0.000 0.500
```

*x*
The following is a PBE calculation of an optimized crystal structure of TbPm2Sm, from Alexandria via LeMat-Bulk.

CIF file:
```
data_TbPm2Sm
_cell_length_a 3.6383
_cell_length_b 3.6383
_cell_length_c 35.2502
_cell_angle_alpha 90.00
_cell_angle_beta 90.00
_cell_angle_gamma 120.00
_space_group_name_H-M_alt 'R 3 m'
_space_group_IT_number 160
_space_group_name_Hall 'R 3 -2"'
loop_
_atom_site_label
_atom_site_fract_x
_atom_site_fract_y
_atom_site_fract_z
Tb1 0.0000 0.0000 0.0000
Pm1 0.0000 0.0000 0.4157
Pm2 0.0000 0.0000 0.5836
Sm1 0.0000 0.0000 0.8330
```

*y*
The following is a PBE calculation of an optimized crystal structure of TbPm2Sm, from Alexandria via LeMat-Bulk.

CIF file:
```
data_TbPm2Sm
_cell_length_a 5.644
_cell_length_b 3.572
_cell_length_c 13.371
_cell_angle_alpha 90.00
_cell_angle_beta 90.00
_cell_angle_gamma 90.00
_space_group_name_H-M_alt 'A m m 2'
_space_group_IT_number 38
loop_
_space_group_symop_operation_xyz
'x,y,z'
'-x,-y,z'
'-x,y,z'
'x,-y,z'
'x,y+1/2,z+1/2'
'-x,-y+1/2,z+1/2'
'-x,y+1/2,z+1/2'
'x,-y+1/2,z+1/2'
loop_
_atom_site_label
_atom_site_fract_x
_atom_site_fract_y
_atom_site_fract_z
Tb1 0.000 0.000 0.000
Pm1 0.000 0.000 0.740
Pm2 0.500 0.000 0.614
Sm1 0.500 0.000 0.357
```

Most stable pick: *x*. Distance to second place: 3.5 kJ/mol of atoms.

*w*
The following is a PBE calculation of an optimized crystal structure of TbPm2Sm, from Alexandria via LeMat-Bulk.

CIF file:
```
data_TbPm2Sm
_cell_length_a 5.122
_cell_length_b 5.122
_cell_length_c 5.116
_cell_angle_alpha 90.00
_cell_angle_beta 90.00
_cell_angle_gamma 90.00
_space_group_name_H-M_alt 'P 4/m m m'
_space_group_IT_number 123
_space_group_name_Hall '-P 4 2'
loop_
_atom_site_label
_atom_site_fract_x
_atom_site_fract_y
_atom_site_fract_z
Tb1 0.000 0.000 0.000
Pm1 0.000 0.500 0.500
Sm1 0.500 0.500 0.000
```

*x*
The following is a PBE calculation of an optimized crystal structure of TbPm2Sm, from Alexandria via LeMat-Bulk.

CIF file:
```
data_TbPm2Sm
_cell_length_a 4.264
_cell_length_b 4.264
_cell_length_c 7.411
_cell_angle_alpha 90.00
_cell_angle_beta 90.00
_cell_angle_gamma 90.00
_space_group_name_H-M_alt 'P 4/m m m'
_space_group_IT_number 123
_space_group_name_Hall '-P 4 2'
loop_
_atom_site_label
_atom_site_fract_x
_atom_site_fract_y
_atom_site_fract_z
Tb1 0.000 0.000 0.000
Pm1 0.500 0.500 0.247
Sm1 0.000 0.000 0.500
```

Most stable pick: *w*. Distance to second place: 9.5 kJ/mol of atoms.